Record 1
{"formula": "Re2B2Rh", "functional": "PBE-GGA", "state": "optimized geometry", "space_group": "I4/mmm (139)", "vol_a3_per_atom": 12.50, "m_tot_mub_per_atom": 0.0000, "dos_at_fermi_per_ev_cell": 2.53, "relative_energy_kj_per_mol_fu": 185.2, "total_energy_ev_per_atom": -8.86, "lattice_angstrom": [[-2.093, 2.093, 3.565], [2.093, -2.093, 3.565], [2.093, 2.093, -3.565]], "species": ["Re", "Re", "B", "B", "Rh"], "frac_coords": [[0.250, 0.750, 0.500], [0.750, 0.250, 0.500], [0.175, 0.175, 0.000], [0.825, 0.825, 0.000], [0.500, 0.500, 0.000]]}

Record 2
{"formula": "Re2BRh", "functional": "PBE-GGA", "state": "optimized geometry", "space_group": "I-42d (122)", "vol_a3_per_atom": 14.74, "m_tot_mub_per_atom": 0.0000, "dos_at_fermi_per_ev_cell": 3.09, "total_energy_ev_per_atom": -8.92, "lattice_angstrom": [[-1.898, 1.898, 8.184], [1.898, -1.898, 8.184], [1.898, 1.898, -8.184]], "species": ["Re", "Re", "Re", "Re", "B", "B", "Rh", "Rh"], "frac_coords": [[0.066, 0.625, 0.941], [0.375, 0.316, 0.441], [0.684, 0.125, 0.059], [0.875, 0.934, 0.559], [0.000, 0.000, 0.000], [0.750, 0.250, 0.500], [0.250, 0.750, 0.500], [0.500, 0.500, 0.000]]}